# 1
The following is a DFT calculation (PBE) of an optimized crystal structure of Rb2NaAuBr6.

Cell lengths 7.9396, 7.9396, 7.8340 Å; angles 59.55, 59.55, 90.00 degrees
With the nearest neighbours (Å) after each atom.
Positions (direct):
Br1 0.7559 0.2441 0.0000  1 Au 2.74, 1 Na 2.87
Br2 0.2321 0.2321 0.5357  1 Au 2.54
Br3 0.2441 0.2441 0.0000  1 Au 2.74, 1 Na 2.87
Br4 0.7679 0.7679 0.4643  1 Au 2.54
Br5 0.2441 0.7559 0.0000  1 Au 2.74, 1 Na 2.87
Br6 0.7559 0.7559 0.0000  1 Au 2.74, 1 Na 2.87
Na1 0.5000 0.5000 0.0000  6 Br 2.87-2.93
Au1 0.0000 0.0000 0.0000  6 Br 2.54-2.74
Rb1 0.7500 0.2500 0.5000  12 Br 3.92-3.97
Rb2 0.2500 0.7500 0.5000  12 Br 3.92-3.97

Properties
Spin magnetization ... 0.0 μB per cell
Uncorrected energy ... -2.645 eV per atom



# 2
The following is a DFT calculation (PBE) of an optimized crystal structure of RbNaAuBr3.

Cell lengths 9.7288, 9.7288, 6.7676 Å; angles 81.59, 81.59, 46.22 degrees
With the nearest neighbours (Å) after each atom.
Positions (direct):
Na1 0.9404 0.9404 0.2055  1 Br 2.75
Na2 0.0596 0.0596 0.7945  1 Br 2.75
Rb1 0.7481 0.7481 0.7835  4 Br 3.40-3.70
Rb2 0.2519 0.2519 0.2165  4 Br 3.40-3.70
Br1 0.7847 0.7847 0.2743  1 Na 2.75
Br2 0.1723 0.6709 0.8269  1 Au 2.43
Br3 0.3291 0.8277 0.1731  1 Au 2.43
Br4 0.2153 0.2153 0.7257  1 Na 2.75
Br5 0.6709 0.1723 0.8269  1 Au 2.43
Br6 0.8277 0.3291 0.1731  1 Au 2.43
Au1 0.2734 0.7266 0.5000  2 Br 2.43
Au2 0.7266 0.2734 0.5000  2 Br 2.43

Properties
Spin magnetization ... 0.0 μB per cell
Uncorrected energy ... -2.819 eV per atom



# 3
The following is a DFT calculation (PBE) of an optimized crystal structure of Na2AuSBr.

Cell lengths 5.4640, 5.4640, 4.5969 Å; angles 90.00, 90.00, 90.00 degrees
With the nearest neighbours (Å) after each atom.
Positions (direct):
S1 0.0000 0.0000 0.0000  2 Au 2.30
Na1 0.0000 0.5000 0.0000  2 S 2.73
Na2 0.5000 0.0000 0.0000  2 S 2.73
Au1 0.0000 0.0000 0.5000  2 S 2.30
Br1 0.5000 0.5000 0.5000  8 Na 3.57, 4 Au 3.86

Properties
Spin magnetization ... 0.0 μB per cell
Uncorrected energy ... -3.171 eV per atom



# 4
The following is a DFT calculation (PBE) of an optimized crystal structure of Na2SbAuBr.

Cell lengths 6.1200, 5.0065, 6.1200 Å; angles 90.00, 90.00, 90.00 degrees
With the nearest neighbours (Å) after each atom.
Positions (direct):
Na1 0.5000 0.0000 0.0000  2 Sb 3.06
Na2 0.0000 0.0000 0.5000  2 Sb 3.06
Sb1 0.0000 0.0000 0.0000  2 Au 2.50
Au1 0.0000 0.5000 0.0000  2 Sb 2.50
Br1 0.5000 0.5000 0.5000  8 Na 3.95, 4 Au 4.33

Properties
Spin magnetization ... 0.0 μB per cell
Uncorrected energy ... -2.678 eV per atom



# 5
The following is a DFT calculation (PBE) of an optimized crystal structure of NaSc2AuBr.

Cell lengths 5.0299, 5.3812, 5.0299 Å; angles 90.00, 90.00, 90.00 degrees
With the nearest neighbours (Å) after each atom.
Positions (direct):
Sc1 0.5000 0.0000 0.0000  2 Br 2.51
Sc2 0.0000 0.0000 0.5000  2 Br 2.51
Au1 0.0000 0.5000 0.0000  2 Br 2.69
Na1 0.5000 0.5000 0.5000  4 Au 3.56, 8 Sc 3.68
Br1 0.0000 0.0000 0.0000  4 Sc 2.51, 2 Au 2.69

Properties
Spin magnetization ... 0.0 μB per cell
Uncorrected energy ... -3.583 eV per atom



# 6
The following is a DFT calculation (PBE) of an optimized crystal structure of NaSrAuBr2.

Cell lengths 6.4970, 5.3782, 6.4970 Å; angles 90.00, 90.00, 90.00 degrees
With the nearest neighbours (Å) after each atom.
Positions (direct):
Br1 0.0000 0.0000 0.5000  2 Au 3.25
Br2 0.5000 0.0000 0.0000  2 Au 3.25
Sr1 0.0000 0.5000 0.0000  2 Au 2.69
Au1 0.0000 0.0000 0.0000  2 Sr 2.69
Na1 0.5000 0.5000 0.5000  8 Br 4.22, 4 Sr 4.59

Properties
Spin magnetization ... 0.0 μB per cell
Uncorrected energy ... -2.346 eV per atom



# 7
The following is a DFT calculation (PBE) of an optimized crystal structure of Na2TaAuBr.

Cell lengths 6.2019, 4.9170, 6.2019 Å; angles 90.00, 90.00, 90.00 degrees
With the nearest neighbours (Å) after each atom.
Positions (direct):
Ta1 0.0000 0.0000 0.0000  2 Br 2.46
Na1 0.5000 0.0000 0.0000  2 Ta 3.10
Na2 0.0000 0.0000 0.5000  2 Ta 3.10
Br1 0.0000 0.5000 0.0000  2 Ta 2.46
Au1 0.5000 0.5000 0.5000  8 Na 3.96, 4 Br 4.39

Properties
Spin magnetization ... 3.0 μB per cell
Uncorrected energy ... -3.075 eV per atom



# 8
The following is a DFT calculation (PBE) of an optimized crystal structure of NaTl2Au2Br6.

Cell lengths 7.3528, 8.1854, 8.2796 Å; angles 118.01, 90.00, 116.69 degrees
With the nearest neighbours (Å) after each atom.
Positions (direct):
Br1 0.2542 0.5084 0.3607  1 Au 2.49
Br2 0.6692 0.8434 0.1779  1 Au 2.59
Br3 0.7458 0.4916 0.6393  1 Au 2.49
Br4 0.8258 0.1566 0.8221  1 Au 2.59
Br5 0.1742 0.8434 0.1779  1 Au 2.59
Br6 0.3308 0.1566 0.8221  1 Au 2.59
Tl1 0.7408 0.4815 0.2175  5 Br 3.39-3.45
Tl2 0.2592 0.5185 0.7825  5 Br 3.39-3.45
Au1 0.9430 0.8860 0.7738  3 Br 2.49-2.59
Au2 0.0570 0.1140 0.2262  3 Br 2.49-2.59
Na1 0.5000 0.0000 0.5000  6 Br 2.92-3.15

Properties
Spin magnetization ... 0.0 μB per cell
Uncorrected energy ... -2.621 eV per atom



# 9
The following is a DFT calculation (PBE) of an optimized crystal structure of Na2TlAuBr6.

Cell lengths 7.7186, 7.6647, 8.1340 Å; angles 58.10, 64.40, 54.44 degrees
With the nearest neighbours (Å) after each atom.
Positions (direct):
Br1 0.2332 0.9534 0.2348  1 Tl 2.76, 2 Na 2.93-3.04
Br2 0.6823 0.0916 0.7944  1 Tl 2.78, 2 Na 2.95-3.00
Br3 0.9827 0.5645 0.2535  1 Tl 2.75, 2 Na 2.99-3.02
Br4 0.0644 0.4466 0.7369  1 Au 2.48
Br5 0.6070 0.2020 0.2820  1 Au 2.48
Br6 0.3930 0.7085 0.7695  1 Tl 2.76, 1 Na 3.02
Na1 0.9966 0.0184 0.9748  6 Br 3.00-3.09
Na2 0.5770 0.5137 0.4349  5 Br 2.93-3.18
Tl1 0.3066 0.3358 0.0099  5 Br 2.75-2.98
Au1 0.8189 0.8270 0.5245  2 Br 2.48

Properties
Spin magnetization ... 0.0 μB per cell
Uncorrected energy ... -2.628 eV per atom



# 10
The following is a DFT calculation (PBE) of an optimized crystal structure of NaTlAuBr3.

Cell lengths 9.8334, 9.8334, 6.5067 Å; angles 86.48, 86.48, 44.76 degrees
With the nearest neighbours (Å) after each atom.
Positions (direct):
Br1 0.6665 0.1706 0.8104  1 Au 2.43
Br2 0.8294 0.3335 0.1896  1 Au 2.43
Br3 0.3335 0.8294 0.1896  1 Au 2.43
Br4 0.2136 0.2136 0.7393  1 Na 2.75
Br5 0.1706 0.6665 0.8104  1 Au 2.43
Br6 0.7864 0.7864 0.2607  1 Na 2.75
Tl1 0.2363 0.2363 0.2470  4 Br 3.20-3.43
Tl2 0.7637 0.7637 0.7530  4 Br 3.20-3.43
Au1 0.7308 0.2692 0.5000  2 Br 2.43
Au2 0.2692 0.7308 0.5000  2 Br 2.43
Na1 0.9373 0.9373 0.1872  1 Br 2.75
Na2 0.0627 0.0627 0.8128  1 Br 2.75

Properties
Spin magnetization ... 0.0 μB per cell
Uncorrected energy ... -2.747 eV per atom



# 11
The following is a DFT calculation (PBE) of an optimized crystal structure of Nb2AuBr.

Cell lengths 4.1817, 4.1817, 9.9350 Å; angles 77.85, 77.85, 90.00 degrees
With the nearest neighbours (Å) after each atom.
Positions (direct):
Br1 0.5000 0.5000 0.0000  4 Nb 2.81, 4 Au 2.96
Br2 0.2500 0.7500 0.5000  4 Nb 2.81, 4 Au 2.96
Nb1 0.8750 0.8823 0.7500  2 Au 2.78, 2 Br 2.81, 4 Nb 2.91-3.00
Nb2 0.6323 0.1250 0.2500  2 Au 2.78, 2 Br 2.81, 4 Nb 2.91-3.00
Nb3 0.3750 0.3677 0.7500  2 Au 2.78, 2 Br 2.81, 4 Nb 2.91-3.00
Nb4 0.1177 0.6250 0.2500  2 Au 2.78, 2 Br 2.81, 4 Nb 2.91-3.00
Au1 0.7500 0.2500 0.5000  4 Nb 2.78, 4 Br 2.96
Au2 0.0000 0.0000 0.0000  4 Nb 2.78, 4 Br 2.96

Properties
Spin magnetization ... 0.0 μB per cell
Uncorrected energy ... -5.672 eV per atom
ΔE to the lowest computed polymorph ... 0.2778 eV per atom



# 12
The following is a DFT calculation (PBE) of an optimized crystal structure of NbAu2Br.

Cell lengths 4.8596, 4.8596, 4.8596 Å; angles 60.00, 60.00, 60.00 degrees
With the nearest neighbours (Å) after each atom.
Positions (direct):
Au1 0.2500 0.2500 0.2500  4 Nb 2.98, 4 Br 2.98
Au2 0.7500 0.7500 0.7500  4 Nb 2.98, 4 Br 2.98
Br1 0.0000 0.0000 0.0000  8 Au 2.98
Nb1 0.5000 0.5000 0.5000  8 Au 2.98

Properties
Spin magnetization ... 1.8 μB per cell
Uncorrected energy ... -3.963 eV per atom
ΔE to the lowest computed polymorph ... 0.2648 eV per atom



# 13
The following is a DFT calculation (PBE) of an optimized crystal structure of NbAu3Br.

Cell lengths 5.1963, 5.1963, 5.1963 Å; angles 90.00, 90.00, 90.00 degrees
With the nearest neighbours (Å) after each atom.
Positions (direct):
Au1 0.5000 0.0000 0.0000  2 Nb 2.60
Au2 0.0000 0.0000 0.5000  2 Nb 2.60
Au3 0.0000 0.5000 0.0000  2 Nb 2.60
Br1 0.5000 0.5000 0.5000  12 Au 3.67
Nb1 0.0000 0.0000 0.0000  6 Au 2.60

Properties
Spin magnetization ... 0.0 μB per cell
Uncorrected energy ... -3.355 eV per atom
ΔE to the lowest computed polymorph ... 0.0000 eV per atom



| no. | ΔE_f (raw) (eV/atom) |
| --- | --- |
| 1 | -0.99 |
| 2 | -1.06 |
| 3 | -0.83 |
| 4 | -0.34 |
| 5 | 0.20 |
| 6 | -0.42 |
| 7 | 0.81 |
| 8 | -0.56 |
| 9 | -0.80 |
| 10 | -0.75 |
| 11 | 0.60 |
| 12 | 0.61 |
| 13 | 0.96 |